Record 1
An optimized crystal structure of Pm14SmZr, computed with PBE.

Lattice parameters (Å, degrees): 7.2393 7.2393 10.2188 90.00 90.00 90.00
Atoms (fractional coordinates):
Pm 0.8748 0.1252 0.5000
Pm 0.1192 0.3692 0.2436
Pm 0.3753 0.6247 0.5000
Pm 0.1191 0.8809 0.7564
Pm 0.3748 0.1247 0.5000
Pm 0.8748 0.6249 0.0000
Pm 0.3751 0.1252 0.0000
Pm 0.1192 0.3692 0.7564
Pm 0.8753 0.6252 0.5000
Pm 0.1191 0.8809 0.2436
Pm 0.6308 0.8808 0.2436
Pm 0.6308 0.8808 0.7564
Pm 0.6309 0.3691 0.7565
Pm 0.6309 0.3691 0.2435
Sm 0.3747 0.6253 0.0000
Zr 0.8753 0.1247 0.0000

Results
The final energy is -4.94 eV/atom. As for the space-group type: Amm2. As for the formation energy: 45.3 meV/atom.

Record 2
An optimized crystal structure of NaNpSO, computed with PBE.

Lattice parameters (Å, degrees): 3.7638 3.7641 7.5624 104.39 104.32 120.00
Atoms (fractional coordinates):
Na 0.0689 0.6076 0.3435
O 0.4302 0.9679 0.7017
S 0.1559 0.0276 0.0960
Np 0.2230 0.4277 0.8285

Results
The final energy is -7.63 eV/atom. As for the space-group type: Cm. The value obtained for the formation energy from raw total energies is -1.792 eV/atom.

Record 3
An optimized crystal structure of CuSnPS2, computed with PBE.

Lattice parameters (Å, degrees): 4.8165 4.8165 4.3138 90.00 90.00 90.00
Atoms (fractional coordinates):
Cu 0.0000 0.0000 0.0000
S 0.0000 0.5000 0.0000
S 0.5000 0.0000 0.0000
P 0.0000 0.0000 0.5000
Sn 0.5000 0.5000 0.5000

Results
The final energy is -3.96 eV/atom. As for the space-group type: P4/mmm. The value obtained for the formation energy from raw total energies is 0.398 eV/atom. The energy above the most stable polymorph in this dataset is 0.000 eV per atom.

Record 4
An optimized crystal structure of RbYAg2Br6, computed with PBE.

Lattice parameters (Å, degrees): 7.4826 7.4796 8.1106 62.54 62.52 59.98
Atoms (fractional coordinates):
Br 0.3309 0.7380 0.7536
Br 0.1778 0.3311 0.7534
Br 0.7380 0.1779 0.7530
Br 0.2635 0.9267 0.2288
Br 0.5810 0.2630 0.2289
Br 0.9270 0.5807 0.2291
Y 0.3280 0.3278 0.0162
Rb 0.8017 0.8017 0.5944
Ag 0.9965 0.9973 0.0095
Ag 0.5172 0.5174 0.4484

Results
The final energy is -3.53 eV/atom. As for the space-group type: R3. The value obtained for the formation energy from raw total energies is -1.216 eV/atom.

Record 5
An optimized crystal structure of Nb2BiRh2, computed with PBE.

Lattice parameters (Å, degrees): 3.9786 3.9786 6.8945 73.23 73.23 90.00
Atoms (fractional coordinates):
Rh 0.2500 0.7500 0.5000
Rh 0.7500 0.2500 0.5000
Nb 0.3821 0.3821 0.2358
Nb 0.6179 0.6179 0.7642
Bi 0.0000 0.0000 0.0000

Results
The final energy is -7.65 eV/atom. As for the space-group type: I4/mmm. As for the formation energy: 92.8 meV/atom. The energy above the most stable polymorph in this dataset is 0.238 eV per atom.

Record 6
An optimized crystal structure of TaPAu, computed with PBE.

Lattice parameters (Å, degrees): 4.2006 4.2006 3.4972 90.00 90.00 120.00
Atoms (fractional coordinates):
Au 0.0000 0.0000 0.0000
Ta 0.3333 0.6667 0.5000
P 0.6667 0.3333 0.5000

Results
The final energy is -6.83 eV/atom. As for the space-group type: P-6m2. As for the formation energy: 14.9 meV/atom. The energy above the most stable polymorph in this dataset is 0.179 eV per atom.

Record 7
An optimized crystal structure of Cs3Ca2H7, computed with PBE.

Lattice parameters (Å, degrees): 4.5894 4.5894 12.7499 100.37 100.37 90.00
Atoms (fractional coordinates):
Ca 0.9063 0.9063 0.8127
Ca 0.0937 0.0937 0.1873
Cs 0.6861 0.6861 0.3721
Cs 0.5000 0.5000 0.0000
Cs 0.3139 0.3139 0.6279
H 0.8134 0.8134 0.6269
H 0.0939 0.5939 0.1877
H 0.5939 0.0939 0.1877
H 0.4061 0.9061 0.8123
H 0.9061 0.4061 0.8123
H 0.1866 0.1866 0.3731
H 0.0000 0.0000 0.0000

Results
The final energy is -2.88 eV/atom. As for the space-group type: I4/mmm. The energy above the most stable polymorph in this dataset is 0.000 eV per atom.

Record 8
An optimized crystal structure of Na2As4Pd3, computed with PBE.

Lattice parameters (Å, degrees): 7.0611 6.8849 7.3383 90.00 90.00 109.65
Atoms (fractional coordinates):
Na 0.0513 0.1829 0.1796
Na 0.9487 0.8171 0.8204
Na 0.4487 0.8171 0.6796
Na 0.5513 0.1829 0.3204
Pd 0.0000 0.5000 0.5000
Pd 0.2544 0.2331 0.6054
Pd 0.2456 0.7669 0.1054
Pd 0.7544 0.2331 0.8946
Pd 0.5000 0.5000 0.0000
Pd 0.7456 0.7669 0.3946
As 0.3704 0.1180 0.9187
As 0.6260 0.4578 0.6594
As 0.1296 0.8820 0.4187
As 0.1260 0.4578 0.8406
As 0.3740 0.5422 0.3406
As 0.6296 0.8820 0.0813
As 0.8704 0.1180 0.5813
As 0.8740 0.5422 0.1594

Results
The final energy is -4.43 eV/atom. As for the space-group type: P2_1/c. As for the formation energy: -342.3 meV/atom. The energy above the most stable polymorph in this dataset is 0.016 eV per atom.

Number 1: calculated volume 536 Å³/cell. Number 2: calculated volume 81 Å³/cell. Number 3: calculated volume 100 Å³/cell. Number 4: calculated volume 333 Å³/cell. Number 5: calculated volume 100 Å³/cell. Number 6: calculated volume 53 Å³/cell. Number 7: calculated volume 260 Å³/cell. Number 8: calculated volume 336 Å³/cell.